Entry 1:
CrNiAg3: relaxed, PBE.

SG ... Pm-3m, No. 221
Calculated total energy ... -16.70 eV for the cell shown
Crystal system ... cubic
Formation energy ... 1452 meV/atom
E above lowest polymorph ... 48.0 kJ per mole of atoms

Cell lengths 4.911, 4.911, 4.911 Å; angles 90.00, 90.00, 90.00 degrees
Last column: magnetic moment on the atom in μB.
Atoms (fractional coordinates):
Ni (0.500, 0.500, 0.500)  0.76
Ag (0.500, 0.000, 0.000)  0.09
Ag (0.000, 0.000, 0.500)  0.18
Ag (0.000, 0.500, 0.000)  0.12
Cr (0.000, 0.000, 0.000)  3.81

Entry 2:
CrNi2Ag: relaxed, PBE.

SG ... P2/m, No. 10
Calculated total energy ... -22.52 eV for the cell shown
Crystal system ... monoclinic
Formation energy ... 380 meV/atom
E above lowest polymorph ... 18.2 kJ per mole of atoms

Cell lengths 2.750, 4.648, 5.273 Å; angles 53.39, 90.00, 90.00 degrees
Last column: magnetic moment on the atom in μB.
Atoms (fractional coordinates):
Cr (0.000, 0.000, 0.500)  3.04
Ni (0.500, 0.500, 0.000)  0.34
Ni (0.000, 0.000, 0.000)  0.51
Ag (0.500, 0.500, 0.500)  0.06

Entry 3:
CrNiAg2: relaxed, PBE.

SG ... I4/mmm, No. 139
Calculated total energy ... -19.60 eV for the cell shown
Crystal system ... tetragonal
Formation energy ... 376 meV/atom
E above lowest polymorph ... 9.5 kJ per mole of atoms

Cell lengths 4.921, 4.921, 4.921 Å; angles 133.27, 133.27, 68.23 degrees
Last column: magnetic moment on the atom in μB.
Atoms (fractional coordinates):
Cr (0.250, 0.750, 0.500)  3.49
Ag (0.000, 0.000, 0.000)  0.06
Ag (0.500, 0.500, 0.000)  0.06
Ni (0.750, 0.250, 0.500)  0.15

Entry 4:
CrNiAg2: relaxed, PBE.

SG ... Pmmm, No. 47
Calculated total energy ... -19.40 eV for the cell shown
Crystal system ... orthorhombic
Formation energy ... 428 meV/atom
E above lowest polymorph ... 14.5 kJ per mole of atoms

Cell lengths 2.880, 3.930, 5.511 Å; angles 90.00, 90.00, 90.00 degrees
Last column: magnetic moment on the atom in μB.
Atoms (fractional coordinates):
Ni (0.500, 0.500, 0.750)  0.04
Ag (0.000, 0.000, 0.994)  0.05
Ag (0.000, 0.000, 0.506)  0.05
Cr (0.500, 0.500, 0.250)  3.49

Entry 5:
CrNi2Ag: relaxed, PBE.

SG ... Fm-3m, No. 225
Calculated total energy ... -22.32 eV for the cell shown
Crystal system ... cubic
Formation energy ... 428 meV/atom
E above lowest polymorph ... 22.8 kJ per mole of atoms

Cell lengths 4.163, 4.163, 4.163 Å; angles 60.00, 60.00, 60.00 degrees
Atoms (fractional coordinates):
Ni (0.750, 0.750, 0.750)
Ni (0.250, 0.250, 0.250)
Cr (0.000, 0.000, 0.000)
Ag (0.500, 0.500, 0.500)

Entry 6:
CrNi4Ag: relaxed, PBE.

SG ... F-43m, No. 216
Calculated total energy ... -34.59 eV for the cell shown
Crystal system ... cubic
Formation energy ... 168 meV/atom

Cell lengths 4.755, 4.755, 4.755 Å; angles 60.00, 60.00, 60.00 degrees
Last column: magnetic moment on the atom in μB.
Atoms (fractional coordinates):
Ni (0.375, 0.876, 0.375)  0.24
Ni (0.375, 0.375, 0.375)  0.24
Ni (0.375, 0.375, 0.876)  0.24
Ni (0.876, 0.375, 0.375)  0.24
Ag (0.750, 0.750, 0.750)  0.01
Cr (0.000, 0.000, 0.000)  3.14

Entry 7:
CrNiAg2: relaxed, PBE.

SG ... Cmmm, No. 65
Calculated total energy ... -19.40 eV for the cell shown
Crystal system ... orthorhombic
Formation energy ... 426 meV/atom
E above lowest polymorph ... 14.3 kJ per mole of atoms

Cell lengths 4.678, 4.678, 2.994 Å; angles 90.00, 90.00, 105.83 degrees
Last column: magnetic moment on the atom in μB.
Atoms (fractional coordinates):
Ag (0.000, 0.000, 0.000)  0.07
Ag (0.500, 0.500, 0.000)  0.07
Ni (0.000, 0.500, 0.500)  0.57
Cr (0.500, 0.000, 0.500)  3.66

Entry 8:
CrNiAg: relaxed, PBE.

SG ... F-43m, No. 216
Calculated total energy ... -16.23 eV for the cell shown
Crystal system ... cubic
Formation energy ... 675 meV/atom
E above lowest polymorph ... 31.3 kJ per mole of atoms

Cell lengths 4.157, 4.157, 4.157 Å; angles 60.00, 60.00, 60.00 degrees
Last column: magnetic moment on the atom in μB.
Atoms (fractional coordinates):
Ni (0.750, 0.750, 0.750)  -0.10
Cr (0.500, 0.500, 0.500)  3.37
Ag (0.000, 0.000, 0.000)  0.05

Entry 9:
CrNiAg2: relaxed, PBE.

SG ... Fm-3m, No. 225
Calculated total energy ... -18.28 eV for the cell shown
Crystal system ... cubic
Formation energy ... 708 meV/atom
E above lowest polymorph ... 41.5 kJ per mole of atoms

Cell lengths 4.355, 4.355, 4.355 Å; angles 60.00, 60.00, 60.00 degrees
Atoms (fractional coordinates):
Ni (0.500, 0.500, 0.500)
Ag (0.750, 0.750, 0.750)
Ag (0.250, 0.250, 0.250)
Cr (0.000, 0.000, 0.000)

Entry 10:
CrNi2Ag: relaxed, PBE.

SG ... I4/mmm, No. 139
Calculated total energy ... -22.90 eV for the cell shown
Crystal system ... tetragonal
Formation energy ... 285 meV/atom
E above lowest polymorph ... 9.0 kJ per mole of atoms

Cell lengths 4.491, 4.491, 4.491 Å; angles 129.44, 129.34, 74.38 degrees
Last column: magnetic moment on the atom in μB.
Atoms (fractional coordinates):
Cr (0.250, 0.750, 0.500)  2.69
Ag (0.750, 0.250, 0.500)  0.03
Ni (0.000, 0.000, 0.000)  -0.04
Ni (0.500, 0.500, 0.000)  -0.04

Entry 11:
CrNi2Ag: relaxed, PBE.

SG ... I-4m2, No. 119
Calculated total energy ... -22.83 eV for the cell shown
Crystal system ... tetragonal
Formation energy ... 302 meV/atom
E above lowest polymorph ... 10.6 kJ per mole of atoms

Cell lengths 4.658, 4.658, 4.658 Å; angles 133.15, 133.15, 68.42 degrees
Last column: magnetic moment on the atom in μB.
Atoms (fractional coordinates):
Ni (0.250, 0.750, 0.500)  -0.05
Ni (0.000, 0.000, 0.000)  -0.18
Cr (0.750, 0.250, 0.500)  2.77
Ag (0.500, 0.500, 0.000)  0.04

Entry 12:
CrNiAg2: relaxed, PBE.

SG ... P4/mmm, No. 123
Calculated total energy ... -19.32 eV for the cell shown
Crystal system ... tetragonal
Formation energy ... 446 meV/atom
E above lowest polymorph ... 16.3 kJ per mole of atoms

Cell lengths 3.242, 3.242, 5.999 Å; angles 90.00, 90.00, 90.02 degrees
Last column: magnetic moment on the atom in μB.
Atoms (fractional coordinates):
Ni (0.500, 0.500, 0.750)  0.41
Ag (0.000, 0.000, 0.513)  0.06
Ag (0.000, 0.000, 0.987)  0.06
Cr (0.500, 0.500, 0.250)  3.58

Entry 13:
CrNiAg: relaxed, PBE.

SG ... P3m1, No. 156
Calculated total energy ... -17.05 eV for the cell shown
Crystal system ... trigonal
Formation energy ... 402 meV/atom
E above lowest polymorph ... 4.9 kJ per mole of atoms

Cell lengths 2.662, 2.662, 6.646 Å; angles 90.00, 90.00, 120.00 degrees
Last column: magnetic moment on the atom in μB.
Atoms (fractional coordinates):
Cr (0.667, 0.333, 0.360)  0.55
Ag (0.000, 0.000, 0.996)  0.01
Ni (0.333, 0.667, 0.644)  0.20

Entry 14:
CrNi2Ag: relaxed, PBE.

SG ... P4/mmm, No. 123
Calculated total energy ... -22.93 eV for the cell shown
Crystal system ... tetragonal
Formation energy ... 276 meV/atom
E above lowest polymorph ... 8.1 kJ per mole of atoms

Cell lengths 3.834, 3.836, 3.606 Å; angles 90.00, 90.00, 90.00 degrees
Last column: magnetic moment on the atom in μB.
Atoms (fractional coordinates):
Ag (0.500, 0.000, 0.500)  0.05
Ni (0.500, 0.500, 0.000)  0.01
Ni (0.000, 0.000, 0.000)  0.01
Cr (0.000, 0.500, 0.500)  2.98